(1)
The following is a GGA-PBE calculation of an optimized crystal structure of EuSc2Pd, from the Alexandria database.

abc: 4.997 4.997 4.997
angles: 60.00 60.00 60.00
Element x y z (fractional)
Eu (0.000, 0.000, 0.000)
Sc (0.250, 0.250, 0.250)
Sc (0.750, 0.750, 0.750)
Pd (0.500, 0.500, 0.500)

## Properties
- ΔE_f (meV per atom) = -116
- relative energy among the computed polymorphs (kJ per mole of atoms) = 21.1
- SG = Fm-3m
- crystal system = cubic


(2)
The following is a GGA-PBE calculation of an optimized crystal structure of EuScPd4, from the Alexandria database.

abc: 5.420 5.420 5.420
angles: 60.00 60.00 60.00
Element x y z (fractional)
Eu (0.000, 0.000, 0.000)
Sc (0.250, 0.250, 0.250)
Pd (0.126, 0.625, 0.625)
Pd (0.625, 0.126, 0.625)
Pd (0.625, 0.625, 0.126)
Pd (0.625, 0.625, 0.625)

## Properties
- ΔE_f (meV per atom) = -645
- SG = F-43m
- crystal system = cubic


(3)
The following is a GGA-PBE calculation of an optimized crystal structure of EuSc2Pd, from the Alexandria database.

abc: 3.395 3.395 8.490
angles: 90.00 90.00 90.00
Element x y z (fractional)
Eu (0.000, 0.000, 0.000)
Sc (0.500, 0.500, 0.317)
Sc (0.500, 0.500, 0.683)
Pd (0.000, 0.000, 0.500)

## Properties
- ΔE_f (meV per atom) = -335
- relative energy among the computed polymorphs (kJ per mole of atoms) = 0.0
- SG = P4/mmm
- crystal system = tetragonal


(4)
The following is a GGA-PBE calculation of an optimized crystal structure of EuScZnPd, from the Alexandria database.

abc: 4.954 4.954 4.954
angles: 60.00 60.00 60.00
Element x y z (fractional)
Eu (0.000, 0.000, 0.000)
Sc (0.500, 0.500, 0.500)
Zn (0.250, 0.250, 0.250)
Pd (0.750, 0.750, 0.750)

## Properties
- ΔE_f (meV per atom) = -428
- SG = F-43m
- crystal system = cubic


(5)
The following is a GGA-PBE calculation of an optimized crystal structure of EuPdSe, from the Alexandria database.

abc: 4.425 4.425 4.009
angles: 90.00 90.00 120.00
Element x y z (fractional)
Eu (0.000, 0.000, 0.000)
Pd (0.333, 0.667, 0.500)
Se (0.667, 0.333, 0.500)

## Properties
- SG = P-6m2
- E_form (uncorrected) (eV/atom) = -1.2186
- crystal system = hexagonal


(6)
The following is a GGA-PBE calculation of an optimized crystal structure of EuPdSe2, from the Alexandria database.

abc: 8.756 8.756 8.756
angles: 25.63 25.63 25.63
Element x y z (fractional)
Eu (0.000, 0.000, 0.000)
Pd (0.500, 0.500, 0.500)
Se (0.116, 0.116, 0.116)
Se (0.884, 0.884, 0.884)

## Properties
- SG = R-3m
- E_form (uncorrected) (eV/atom) = -0.4150
- crystal system = trigonal


(7)
The following is a GGA-PBE calculation of an optimized crystal structure of SrEuPdSe, from the Alexandria database.

abc: 5.281 5.281 5.281
angles: 60.00 60.00 60.00
Element x y z (fractional)
Sr (0.000, 0.000, 0.000)
Eu (0.500, 0.500, 0.500)
Pd (0.750, 0.750, 0.750)
Se (0.250, 0.250, 0.250)

## Properties
- SG = F-43m
- E_form (uncorrected) (eV/atom) = -1.0828
- crystal system = cubic


(8)
The following is a GGA-PBE calculation of an optimized crystal structure of Eu2SiPd, from the Alexandria database.

abc: 5.187 5.187 3.586
angles: 90.00 90.00 90.00
Element x y z (fractional)
Eu (0.000, 0.500, 0.000)
Eu (0.500, 0.000, 0.000)
Si (0.000, 0.000, 0.500)
Pd (0.500, 0.500, 0.500)

## Properties
- SG = P4/mmm
- E_form (uncorrected) (eV/atom) = -0.4810
- crystal system = tetragonal


(9)
The following is a GGA-PBE calculation of an optimized crystal structure of EuSi2Pd2, from the Alexandria database.

abc: 5.852 5.852 5.852
angles: 137.51 137.51 61.65
Element x y z (fractional)
Eu (0.000, 0.000, 0.000)
Si (0.380, 0.380, 0.000)
Si (0.620, 0.620, 0.000)
Pd (0.250, 0.750, 0.500)
Pd (0.750, 0.250, 0.500)

## Properties
- SG = I4/mmm
- E_form (uncorrected) (eV/atom) = -0.8138
- crystal system = tetragonal


(10)
The following is a GGA-PBE calculation of an optimized crystal structure of EuSiPd3, from the Alexandria database.

abc: 4.662 4.662 4.662
angles: 90.00 90.00 90.00
Element x y z (fractional)
Eu (0.000, 0.000, 0.000)
Si (0.500, 0.500, 0.500)
Pd (0.000, 0.500, 0.500)
Pd (0.500, 0.000, 0.500)
Pd (0.500, 0.500, 0.000)

## Properties
- SG = Pm-3m
- E_form (uncorrected) (eV/atom) = -0.5787
- crystal system = cubic


(11)
The following is a GGA-PBE calculation of an optimized crystal structure of TbEuSiPd, from the Alexandria database.

abc: 5.067 5.067 5.067
angles: 60.00 60.00 60.00
Element x y z (fractional)
Tb (0.000, 0.000, 0.000)
Eu (0.500, 0.500, 0.500)
Si (0.250, 0.250, 0.250)
Pd (0.750, 0.750, 0.750)

## Properties
- SG = F-43m
- E_form (uncorrected) (eV/atom) = -0.5962
- crystal system = cubic


(12)
The following is a GGA-PBE calculation of an optimized crystal structure of SmEuPd, from the Alexandria database.

abc: 6.954 6.954 6.954
angles: 149.52 149.52 43.65
Element x y z (fractional)
Sm (0.000, 0.000, 0.000)
Eu (0.733, 0.733, 0.000)
Pd (0.384, 0.384, 0.000)

## Properties
- ΔE_f (meV per atom) = -475
- relative energy among the computed polymorphs (kJ per mole of atoms) = 0.0
- SG = I4mm
- crystal system = tetragonal